# 1
This record from Alexandria describes a relaxed Li2CrSe crystal. The functional is PBE. Values from VASP.

Quantum ESPRESSO input file:
```
&SYSTEM
  ibrav = 0, nat = 4, ntyp = 3
/
ATOMIC_SPECIES
Cr 52.00 Cr.upf
Li 6.94 Li.upf
Se 78.96 Se.upf
CELL_PARAMETERS angstrom
-2.737 4.091 -1.799
-1.829 -0.317 -4.900
-0.022 -3.019 4.284
ATOMIC_POSITIONS angstrom
Cr -2.521 1.479 -0.432
Li 0.000 0.000 0.000
Se -2.067 -0.725 -1.983
Li -2.283 1.887 -3.350
```

# 2
This record from Alexandria describes a relaxed LiCrSe3 crystal. The functional is PBE. Values from VASP.

Summary:
energy above the most stable polymorph in this dataset = 0.416 eV per formula unit

Quantum ESPRESSO input file:
```
&SYSTEM
  ibrav = 0, nat = 10, ntyp = 3
/
ATOMIC_SPECIES
Se 78.96 Se.upf
Cr 52.00 Cr.upf
Li 6.94 Li.upf
CELL_PARAMETERS angstrom
6.239 -0.024 0.172
0.419 5.472 -0.059
-2.117 0.693 6.546
ATOMIC_POSITIONS angstrom
Se 1.443 1.122 2.083
Se 4.917 4.319 2.047
Cr 3.165 2.636 1.597
Cr 3.471 5.519 0.768
Se 1.035 5.884 4.896
Li 0.955 3.162 4.943
Se 3.486 2.965 4.015
Se 4.775 1.561 0.343
Li 3.568 5.687 3.969
Se 1.720 3.837 0.318
```

# 3
This record from Alexandria describes a relaxed Li2CrSe crystal. The functional is PBE. Values from VASP.

Quantum ESPRESSO input file:
```
&SYSTEM
  ibrav = 0, nat = 4, ntyp = 3
/
ATOMIC_SPECIES
Li 6.94 Li.upf
Se 78.96 Se.upf
Cr 52.00 Cr.upf
CELL_PARAMETERS angstrom
3.471 0.000 0.000
0.000 3.471 0.000
0.000 0.000 5.866
ATOMIC_POSITIONS angstrom
Li 1.735 1.735 1.516
Li 0.000 0.000 5.820
Se 0.000 0.000 3.110
Cr 1.735 1.735 4.220
```

The calculation returns the following ΔE_f (raw) values, one per record and in order: -13.3 -49.9 -16.7 kJ per mole of atoms.
The calculation returns the following ρ values, one per record and in order: 3.60 4.35 3.40 g/cm³.